(1)
Computed, not measured: a relaxed Ac2TbPmTm crystal at the PBE level of DFT.

Values from the calculation:
- E_tot (Ry/atom) = -0.3048
- ΔE_f (eV/atom) = 0.268

Cell lengths 6.428, 8.957, 6.699 Å; angles 90.00, 90.00, 90.00 degrees
Space group Pmma (No. 51)
Asymmetric unit:
Ac: 0.250 0.204 0.212 [4 per cell]
Tb: 0.250 0.000 0.685 [2 per cell]
Pm: 0.250 0.500 0.917 [2 per cell]
Tm: 0.000 0.500 0.500 [2 per cell]

=====

(2)
Computed, not measured: a relaxed HfScZn2 crystal at the PBE level of DFT.

Values from the calculation:
- E_tot (Ry/atom) = -0.3088
- ΔE_f (eV/atom) = 0.506

Cell lengths 2.887, 5.116, 11.450 Å; angles 90.00, 90.00, 90.00 degrees
Space group Immm (No. 71)
Asymmetric unit:
Hf: 0.000 0.000 0.000 [2 per cell]
Sc: 0.000 0.000 0.500 [2 per cell]
Zn: 0.000 0.000 0.248 [4 per cell]